(1)
Co3Os: optimized geometry, PBE-GGA.

Unit cell a=8.3589 b=8.3589 c=8.3589 alpha=17.92 beta=17.92 gamma=17.92
Closest atoms and distances in Å follow each position.
Positions (direct):
1 Co 0.0000 0.0000 0.0000  12 Co 2.48-2.60
2 Co 0.2535 0.2535 0.2535  9 Co 2.48-2.60, 3 Os 2.62
3 Co 0.7465 0.7465 0.7465  9 Co 2.48-2.60, 3 Os 2.62
4 Os 0.5000 0.5000 0.5000  6 Os 2.60, 6 Co 2.62

Calculated values
DFT total energy ... -7.98 eV per atom
Total magnetic moment ... 4.81 Bohr magnetons per cell
Formation enthalpy at 0 K ... 0.156 eV/atom

(2)
Na2ZnCd2: optimized geometry, PBE-GGA.

Unit cell a=11.7541 b=11.7541 c=11.7541 alpha=156.57 beta=156.57 gamma=33.37
Closest atoms and distances in Å follow each position.
Positions (direct):
1 Na 0.0534 0.3034 0.7500  2 Zn 2.88
2 Na 0.3034 0.0534 0.2500  2 Zn 2.88
3 Na 0.6966 0.9466 0.7500  2 Zn 2.88
4 Na 0.9466 0.6966 0.2500  2 Zn 2.88
5 Zn 0.3750 0.6250 0.7500  4 Na 2.88, 4 Cd 2.93
6 Zn 0.6250 0.3750 0.2500  4 Na 2.88, 4 Cd 2.93
7 Cd 0.2005 0.4505 0.7500  2 Zn 2.93, 2 Cd 3.27
8 Cd 0.4505 0.2005 0.2500  2 Zn 2.93, 2 Cd 3.27
9 Cd 0.5495 0.7995 0.7500  2 Zn 2.93, 2 Cd 3.27
10 Cd 0.7995 0.5495 0.2500  2 Zn 2.93, 2 Cd 3.27

Calculated values
Relative energy among the computed polymorphs ... 0.031 eV/atom
DFT total energy ... -1.13 eV per atom
Total magnetic moment ... 0.00 Bohr magnetons per cell
Formation enthalpy at 0 K ... 0.021 eV/atom

(3)
TmAg4Au: optimized geometry, PBE-GGA.

Unit cell a=5.4955 b=5.4955 c=5.4955 alpha=60.00 beta=60.00 gamma=60.00
Closest atoms and distances in Å follow each position.
Positions (direct):
1 Tm 0.0000 0.0000 0.0000  12 Ag 3.22, 4 Au 3.37
2 Ag 0.1253 0.6249 0.6249  6 Ag 2.75
3 Ag 0.6249 0.1253 0.6249  6 Ag 2.75
4 Ag 0.6249 0.6249 0.1253  6 Ag 2.75
5 Ag 0.6249 0.6249 0.6249  6 Ag 2.75
6 Au 0.2500 0.2500 0.2500  12 Ag 3.22, 4 Tm 3.37

Calculated values
DFT total energy ... -3.35 eV per atom
Total magnetic moment ... 0.00 Bohr magnetons per cell
Formation enthalpy at 0 K ... -0.163 eV/atom

(4)
CaTc2Hg: optimized geometry, PBE-GGA.

Unit cell a=10.0555 b=10.0555 c=10.0555 alpha=16.83 beta=16.83 gamma=16.83
Closest atoms and distances in Å follow each position.
Positions (direct):
1 Ca 0.0000 0.0000 0.0000  6 Ca 2.94, 6 Tc 3.08
2 Tc 0.2470 0.2470 0.2470  3 Hg 2.93, 6 Tc 2.94, 3 Ca 3.08
3 Tc 0.7530 0.7530 0.7530  3 Hg 2.93, 6 Tc 2.94, 3 Ca 3.08
4 Hg 0.5000 0.5000 0.5000  6 Tc 2.93, 6 Hg 2.94

Calculated values
DFT total energy ... -4.93 eV per atom
Total magnetic moment ... 0.00 Bohr magnetons per cell
Formation enthalpy at 0 K ... 0.830 eV/atom

(5)
Ho8GeSb5: optimized geometry, PBE-GGA.

Unit cell a=7.8814 b=7.8814 c=7.8814 alpha=109.83 beta=109.83 gamma=108.76
Closest atoms and distances in Å follow each position.
Positions (direct):
1 Ho 0.0288 0.1325 0.7539  5 Sb 3.05-3.29, 1 Ge 3.21
2 Ho 0.2429 0.4796 0.6194  1 Ge 2.91, 3 Sb 3.04-3.26
3 Ho 0.3765 0.7571 0.2366  1 Ge 2.91, 3 Sb 3.04-3.26
4 Ho 0.3786 0.2749 0.2461  5 Sb 3.05-3.29, 1 Ge 3.21
5 Ho 0.5204 0.1399 0.7634  1 Ge 2.91, 3 Sb 3.04-3.26
6 Ho 0.7251 0.9712 0.1037  5 Sb 3.05-3.29, 1 Ge 3.21
7 Ho 0.8601 0.6235 0.3806  1 Ge 2.91, 3 Sb 3.04-3.26
8 Ho 0.8675 0.6214 0.8963  5 Sb 3.05-3.29, 1 Ge 3.21
9 Ge 0.5000 0.5000 0.0000  8 Ho 2.91-3.21
10 Sb 0.0016 0.3732 0.1318  8 Ho 3.04-3.30
11 Sb 0.1302 0.9984 0.3716  8 Ho 3.04-3.30
12 Sb 0.2414 0.8698 0.8682  8 Ho 3.04-3.30
13 Sb 0.6268 0.7586 0.6284  8 Ho 3.04-3.30
14 Sb 0.7500 0.2500 0.5000  8 Ho 3.05-3.33

Calculated values
Raw formation energy ... -0.948 eV/atom
DFT total energy ... -5.37 eV per atom
Total magnetic moment ... 0.00 Bohr magnetons per cell

(6)
AcSmSi2Pd5: optimized geometry, PBE-GGA.

Unit cell a=4.3096 b=4.3096 c=9.1327 alpha=90.00 beta=90.00 gamma=90.00
Closest atoms and distances in Å follow each position.
Positions (direct):
1 Ac 0.0000 0.0000 0.0000  12 Pd 3.05-3.08
2 Sm 0.0000 0.0000 0.5000  8 Pd 3.20, 8 Si 3.27
3 Si 0.5000 0.5000 0.3697  1 Si 2.38, 4 Pd 2.45
4 Si 0.5000 0.5000 0.6303  1 Si 2.38, 4 Pd 2.45
5 Pd 0.0000 0.5000 0.2416  2 Si 2.45
6 Pd 0.0000 0.5000 0.7584  2 Si 2.45
7 Pd 0.5000 0.0000 0.2416  2 Si 2.45
8 Pd 0.5000 0.0000 0.7584  2 Si 2.45
9 Pd 0.5000 0.5000 0.0000  4 Ac 3.05, 8 Pd 3.08, 2 Si 3.38

Calculated values
Raw formation energy ... -0.862 eV/atom
DFT total energy ... -5.93 eV per atom
Total magnetic moment ... 0.00 Bohr magnetons per cell

(7)
KBaOs2: optimized geometry, PBE-GGA.

Unit cell a=5.0721 b=5.0721 c=5.0721 alpha=60.00 beta=60.00 gamma=60.00
Closest atoms and distances in Å follow each position.
Positions (direct):
1 K 0.0000 0.0000 0.0000  4 Ba 3.11, 4 Os 3.11
2 Ba 0.7500 0.7500 0.7500  4 K 3.11, 4 Os 3.11
3 Os 0.2500 0.2500 0.2500  4 K 3.11, 4 Os 3.11
4 Os 0.5000 0.5000 0.5000  4 Ba 3.11, 4 Os 3.11

Calculated values
Relative energy among the computed polymorphs ... 1.178 eV/atom
DFT total energy ... -4.75 eV per atom
Total magnetic moment ... 2.15 Bohr magnetons per cell
Formation enthalpy at 0 K ... 1.624 eV/atom

(8)
InGaP2O: optimized geometry, PBE-GGA.

Unit cell a=5.2058 b=5.2058 c=3.9795 alpha=90.00 beta=90.00 gamma=90.00
Closest atoms and distances in Å follow each position.
Positions (direct):
1 In 0.0000 0.0000 0.0000  2 O 1.99
2 Ga 0.5000 0.5000 0.5000  8 P 3.28
3 P 0.0000 0.5000 0.0000  2 In 2.60
4 P 0.5000 0.0000 0.0000  2 In 2.60
5 O 0.0000 0.0000 0.5000  2 In 1.99

Calculated values
Raw formation energy ... 0.591 eV/atom
Relative energy among the computed polymorphs ... 0.434 eV/atom
DFT total energy ... -3.72 eV per atom
Total magnetic moment ... 0.00 Bohr magnetons per cell